This record from Alexandria via LeMat-Bulk describes SrTb4PmS8 after structural relaxation. The functional is PBE.

The structure in CIF format:
```
data_SrTb4PmS8
_cell_length_a 8.2041
_cell_length_b 8.2041
_cell_length_c 20.2679
_cell_angle_alpha 90.00
_cell_angle_beta 90.00
_cell_angle_gamma 120.00
_symmetry_space_group_name_H-M 'R 3 m'
_symmetry_Int_Tables_number 160
_symmetry_space_group_name_Hall 'R 3 -2"'
loop_
_atom_site_label
_atom_site_fract_x
_atom_site_fract_y
_atom_site_fract_z
_atom_site_occupancy
Sr1 0.0000 0.0000 0.0000 1
Tb1 0.0000 0.0000 0.7488 1
Tb2 0.0047 0.5024 0.8747 1
Pm1 0.0000 0.0000 0.3723 1
S1 0.0000 0.0000 0.1383 1
S2 0.0000 0.0000 0.6164 1
S3 0.0164 0.5082 0.1283 1
S4 0.1834 0.3669 0.9508 1
```

Calculated values
- M_tot: 0.00 μB/f.u.
- Energy relative to the elements, uncorrected: -1.990 eV per atom
- E_tot: -6.131 eV/atom